No. 1
LaTaRe2 | GGA-PBE | optimized geometry

Energy relative to the elements   3.56 eV/f.u.
Theoretical density   13.905 Mg/m³
Excess energy over the best structure of this formula in the dataset   64.3 kJ per mole of atoms
Crystal system   tetragonal

```
data_LaTaRe2
_cell_length_a 6.0839
_cell_length_b 6.0839
_cell_length_c 6.0839
_cell_angle_alpha 102.92
_cell_angle_beta 102.92
_cell_angle_gamma 123.56
_symmetry_space_group_name_H-M 'P 1'
_symmetry_Int_Tables_number 1
loop_
_symmetry_equiv_pos_as_xyz
'x,y,z'
loop_
_atom_site_label
_atom_site_fract_x
_atom_site_fract_y
_atom_site_fract_z
La1 0.0000 0.0000 0.0000
La2 0.7500 0.2500 0.5000
Ta1 0.2500 0.7500 0.5000
Ta2 0.5000 0.5000 0.0000
Re1 0.1557 0.6250 0.0307
Re2 0.3750 0.4057 0.5307
Re3 0.5943 0.1250 0.9693
Re4 0.8750 0.8443 0.4693
```



No. 2
KTi3Si | GGA-PBE | optimized geometry

Theoretical density   2.980 Mg/m³
Excess energy over the best structure of this formula in the dataset   0.0 kJ per mole of atoms
Crystal system   cubic
Energy relative to the elements, uncorrected   0.717 eV/atom

```
data_KTi3Si
_cell_length_a 4.8972
_cell_length_b 4.8972
_cell_length_c 4.8972
_cell_angle_alpha 90.00
_cell_angle_beta 90.00
_cell_angle_gamma 90.00
_symmetry_space_group_name_H-M 'P 1'
_symmetry_Int_Tables_number 1
loop_
_symmetry_equiv_pos_as_xyz
'x,y,z'
loop_
_atom_site_label
_atom_site_fract_x
_atom_site_fract_y
_atom_site_fract_z
K1 0.0000 0.0000 0.0000
Ti1 0.0000 0.5000 0.5000
Ti2 0.5000 0.0000 0.5000
Ti3 0.5000 0.5000 0.0000
Si1 0.5000 0.5000 0.5000
```



No. 3
ReW3I | GGA-PBE | optimized geometry

Theoretical density   12.640 Mg/m³
Excess energy over the best structure of this formula in the dataset   0.0 kJ per mole of atoms
Crystal system   cubic
Energy relative to the elements, uncorrected   2.239 eV/atom

```
data_ReW3I
_cell_length_a 4.8429
_cell_length_b 4.8429
_cell_length_c 4.8429
_cell_angle_alpha 90.00
_cell_angle_beta 90.00
_cell_angle_gamma 90.00
_symmetry_space_group_name_H-M 'P 1'
_symmetry_Int_Tables_number 1
loop_
_symmetry_equiv_pos_as_xyz
'x,y,z'
loop_
_atom_site_label
_atom_site_fract_x
_atom_site_fract_y
_atom_site_fract_z
Re1 0.0000 0.0000 0.0000
W1 0.0000 0.0000 0.5000
W2 0.0000 0.5000 0.0000
W3 0.5000 0.0000 0.0000
I1 0.5000 0.5000 0.5000
```



What is the excess energy over the best structure of this formula in the dataset in the second record?
0.0 kJ per mole of atoms



Which formula does entry 3 have?
ReW3I